Entry 1:
Density functional theory data (PBE) for an optimized crystal structure of PmTmS2O8.

```
PmTmS2O8
1.0
-1.695 -3.854 -3.633
-0.657 -0.843 5.457
-6.199 2.994 -0.284
O Pm S Tm
8 1 2 1
Direct
0.164 0.836 0.774
0.671 0.836 0.774
0.667 0.333 0.485
0.836 0.671 0.226
0.333 0.667 0.515
0.836 0.164 0.226
0.329 0.164 0.226
0.164 0.329 0.774
0.000 0.000 0.500
0.667 0.333 0.268
0.333 0.667 0.732
0.000 0.000 0.000
```

Summary:
SG: No. 164

Entry 2:
Density functional theory data (PBE) for an optimized crystal structure of PmTmSO2.

```
PmTmSO2
1.0
4.031 0.000 0.000
0.000 6.408 -0.493
0.000 -1.968 7.297
S Tm O Pm
2 2 4 2
Direct
0.250 0.040 0.756
0.750 0.960 0.244
0.750 0.322 0.573
0.250 0.678 0.427
0.250 0.476 0.609
0.250 0.485 0.130
0.750 0.515 0.870
0.750 0.524 0.391
0.250 0.696 0.932
0.750 0.304 0.068
```

Summary:
SG: No. 11

Entry 3:
Density functional theory data (PBE) for an optimized crystal structure of Pm3US2O6.

```
Pm3US2O6
1.0
-0.672 -2.997 4.030
6.722 -1.902 -0.293
-1.976 5.138 4.745
S Pm O U
2 3 6 1
Direct
0.115 0.701 0.402
0.885 0.299 0.598
0.500 0.000 0.500
0.500 0.500 0.500
0.000 0.500 0.000
0.328 0.159 0.318
0.702 0.297 0.127
0.672 0.841 0.682
0.298 0.703 0.873
0.298 0.170 0.873
0.702 0.830 0.127
0.500 0.000 0.000
```

Summary:
SG: No. 12

Entry 4:
Density functional theory data (PBE) for an optimized crystal structure of PmYS2O8.

```
PmYS2O8
1.0
-0.510 -3.161 4.697
2.373 -2.210 -4.669
5.787 2.018 1.986
O S Pm Y
8 2 1 1
Direct
0.188 0.375 0.773
0.812 0.188 0.227
0.812 0.625 0.227
0.625 0.812 0.773
0.667 0.333 0.531
0.333 0.667 0.469
0.375 0.188 0.227
0.188 0.812 0.773
0.667 0.333 0.304
0.333 0.667 0.696
0.000 0.000 0.500
0.000 0.000 0.000
```

Summary:
SG: No. 164

Entry 5:
Density functional theory data (PBE) for an optimized crystal structure of PmZrS2O.

```
PmZrS2O
1.0
-3.021 1.133 -2.027
0.044 -3.298 -1.908
-8.133 -5.380 9.112
Zr O S Pm
2 2 4 2
Direct
0.500 0.000 0.103
0.000 0.500 0.897
0.500 0.500 0.500
0.000 0.000 0.500
0.500 0.000 0.286
0.000 0.500 0.714
0.500 0.000 0.899
0.000 0.500 0.101
0.000 0.500 0.405
0.500 0.000 0.595
```

Summary:
SG: No. 129

Entry 6:
Density functional theory data (PBE) for an optimized crystal structure of Pm3SbO7.

```
Pm3SbO7
1.0
6.647 0.039 0.000
-2.266 6.249 0.000
0.000 0.000 7.713
O Pm Sb
14 6 2
Direct
0.365 0.635 0.750
0.315 0.069 0.029
0.630 0.370 0.750
0.069 0.315 0.971
0.935 0.065 0.250
0.370 0.630 0.250
0.685 0.931 0.529
0.635 0.365 0.250
0.065 0.935 0.750
0.071 0.316 0.528
0.316 0.071 0.472
0.929 0.684 0.028
0.684 0.929 0.972
0.931 0.685 0.471
0.001 0.468 0.249
0.468 0.001 0.751
0.498 0.498 0.500
0.502 0.502 0.000
0.532 0.999 0.251
0.999 0.532 0.749
0.000 0.000 0.000
0.000 0.000 0.500
```

Summary:
SG: No. 20

Entry 7:
Density functional theory data (PBE) for an optimized crystal structure of Pm3SbO6.

```
Pm3SbO6
1.0
6.059 0.000 0.000
0.000 7.397 -0.009
0.000 -1.660 7.209
O Pm Sb
12 6 2
Direct
0.209 0.352 0.323
0.209 0.677 0.648
0.577 0.221 0.779
0.077 0.779 0.221
0.177 0.101 0.581
0.709 0.648 0.677
0.709 0.323 0.352
0.677 0.899 0.419
0.716 0.968 0.032
0.677 0.581 0.101
0.216 0.032 0.968
0.177 0.419 0.899
0.983 0.698 0.911
0.483 0.302 0.089
0.440 0.402 0.598
0.483 0.911 0.698
0.983 0.089 0.302
0.940 0.598 0.402
0.015 0.176 0.824
0.515 0.824 0.176
```

Summary:
SG: No. 36

Entry 8:
Density functional theory data (PBE) for an optimized crystal structure of Pm12Sb3O5.

```
Pm12Sb3O5
1.0
-13.213 -3.835 1.811
2.928 0.246 -13.563
8.361 -9.058 6.373
O Pm Sb
20 48 12
Direct
0.875 0.625 0.750
0.250 0.375 0.625
0.500 0.000 0.000
0.000 0.500 0.000
0.500 0.500 0.000
0.250 0.875 0.125
0.625 0.875 0.250
0.375 0.125 0.750
0.000 0.000 0.000
0.000 0.000 0.500
0.000 0.500 0.500
0.125 0.750 0.375
0.750 0.625 0.375
0.750 0.125 0.875
0.875 0.250 0.625
0.625 0.750 0.875
0.375 0.250 0.125
0.500 0.000 0.500
0.125 0.375 0.250
0.500 0.500 0.500
0.803 0.490 0.392
0.510 0.197 0.108
0.303 0.411 0.813
0.901 0.089 0.892
0.401 0.392 0.589
0.197 0.510 0.608
0.813 0.901 0.010
0.510 0.313 0.901
0.911 0.099 0.608
0.392 0.401 0.089
0.608 0.010 0.197
0.099 0.911 0.108
0.803 0.313 0.911
0.901 0.813 0.510
0.687 0.197 0.589
0.411 0.303 0.313
0.089 0.187 0.197
0.490 0.803 0.892
0.608 0.599 0.911
0.599 0.608 0.411
0.892 0.589 0.901
0.687 0.490 0.599
0.990 0.599 0.187
0.490 0.687 0.099
0.911 0.813 0.803
0.401 0.010 0.313
0.303 0.892 0.990
0.990 0.392 0.303
0.108 0.697 0.510
0.313 0.803 0.411
0.187 0.099 0.990
0.108 0.411 0.099
0.599 0.990 0.687
0.197 0.687 0.089
0.392 0.990 0.803
0.010 0.608 0.697
0.697 0.108 0.010
0.697 0.589 0.187
0.589 0.697 0.687
0.187 0.089 0.697
0.589 0.892 0.401
0.099 0.187 0.490
0.313 0.510 0.401
0.089 0.901 0.392
0.892 0.303 0.490
0.010 0.401 0.813
0.813 0.911 0.303
0.411 0.108 0.599
0.375 0.625 0.250
0.625 0.375 0.750
0.125 0.875 0.750
0.875 0.750 0.125
0.875 0.125 0.250
0.125 0.250 0.875
0.750 0.875 0.625
0.625 0.250 0.375
0.250 0.125 0.375
0.750 0.375 0.125
0.250 0.625 0.875
0.375 0.750 0.625
```

Summary:
SG: No. 230

Entry 9:
Density functional theory data (PBE) for an optimized crystal structure of Pm3Sb2O2.

```
Pm3Sb2O2
1.0
-1.996 1.422 3.241
-6.495 -2.678 -2.824
3.572 -2.491 5.840
O Pm Sb
2 3 2
Direct
0.205 0.671 0.590
0.795 0.329 0.410
0.800 0.631 0.399
0.000 0.000 0.000
0.200 0.369 0.601
0.440 0.767 0.120
0.560 0.233 0.880
```

Summary:
Energy relative to the lowest polymorph listed for this composition, meV per atom: 0.0
SG: No. 12

Entry 10:
Density functional theory data (PBE) for an optimized crystal structure of Pm12Sb6O.

```
Pm12Sb6O
1.0
8.600 -0.071 -0.085
-1.374 8.490 -0.085
-1.374 -1.601 8.338
Pm Sb O
12 6 1
Direct
0.451 0.809 0.577
0.423 0.549 0.191
0.191 0.423 0.549
0.298 0.063 0.992
0.577 0.451 0.809
0.937 0.008 0.702
0.549 0.191 0.423
0.008 0.702 0.937
0.809 0.577 0.451
0.992 0.298 0.063
0.063 0.992 0.298
0.702 0.937 0.008
0.296 0.118 0.643
0.882 0.357 0.704
0.118 0.643 0.296
0.643 0.296 0.118
0.357 0.704 0.882
0.704 0.882 0.357
0.000 0.000 0.000
```

Summary:
SG: No. 148

Entry 11:
Density functional theory data (PBE) for an optimized crystal structure of Pm2SbO5.

```
Pm2SbO5
1.0
-4.598 -1.466 4.869
4.495 -5.681 2.535
4.365 6.013 5.734
Pm O Sb
8 20 4
Direct
0.567 0.146 0.658
0.067 0.354 0.658
0.933 0.646 0.342
0.734 0.875 0.018
0.766 0.375 0.982
0.234 0.625 0.018
0.433 0.854 0.342
0.266 0.125 0.982
0.608 0.564 0.381
0.749 0.385 0.731
0.392 0.436 0.619
0.566 0.172 0.391
0.108 0.936 0.381
0.249 0.115 0.731
0.403 0.884 0.097
0.934 0.672 0.609
0.062 0.860 0.881
0.751 0.885 0.269
0.066 0.328 0.391
0.438 0.360 0.119
0.097 0.384 0.903
0.938 0.140 0.119
0.903 0.616 0.097
0.434 0.828 0.609
0.251 0.615 0.269
0.597 0.116 0.903
0.562 0.640 0.881
0.892 0.064 0.619
0.899 0.110 0.332
0.399 0.390 0.332
0.101 0.890 0.668
0.601 0.610 0.668
```

Summary:
SG: No. 14

Entry 12:
Density functional theory data (PBE) for an optimized crystal structure of Pm3Sb2O3.

```
Pm3Sb2O3
1.0
-1.619 -0.352 -2.632
-2.430 -7.455 2.492
-4.493 6.631 1.877
O Pm Sb
3 3 2
Direct
0.000 0.810 0.000
0.000 0.190 0.190
0.000 0.000 0.810
0.500 0.238 0.000
0.500 0.000 0.238
0.500 0.762 0.762
0.000 0.333 0.667
0.000 0.667 0.333
```

Summary:
SG: No. 189

Record-wise formation energy without anion corrections values, in eV per atom: -1.8715 -3.1097 -2.6349 -1.8447 -2.2304 -2.8943 -2.8509 -1.6849 -2.1412 -0.9053 -2.6393 -1.8824